Entry from the Alexandria database: crystalline LiTbW2O8 at its relaxed geometry (GGA+U).

Computed properties:
crystal system = tetragonal
calculated density = 7.19 g cm⁻³
final energy = -7.40 eV per atom
offset from the most stable computed form = 68 meV per atom
DOS at the Fermi energy = 0.0000 states/eV/atom

Cell: 6.6977 6.6977 6.6977 Å, 134.02 134.02 67.06°
With the nearest neighbours (Å) after each atom.
Element x y z (fractional)
Li 0.0000 0.0000 0.0000  8 O 2.42-2.45
Tb 0.7500 0.2500 0.5000  8 O 2.38-2.40
W 0.2500 0.7500 0.5000  4 O 1.83
W 0.5000 0.5000 0.0000  4 O 1.83
O 0.0911 0.6703 0.0875  1 W 1.83
O 0.1654 0.2493 0.5961  1 W 1.83
O 0.3297 0.4172 0.4208  1 W 1.83
O 0.4307 0.8346 0.0839  1 W 1.83
O 0.5828 0.0036 0.9125  1 W 1.83
O 0.6532 0.5693 0.4039  1 W 1.83
O 0.7507 0.3468 0.9161  1 W 1.83
O 0.9964 0.9089 0.5792  1 W 1.83